DFT (PBE-GGA) results for Tl2HgPb after structural relaxation.

Structure (POSCAR):
```
Tl2HgPb
1.0
5.513 0.000 0.000
2.756 4.774 0.000
2.756 1.591 4.501
Pb Tl Hg
1 2 1
Direct
0.750 0.750 0.750 Pb
0.000 0.000 0.000 Tl
0.250 0.250 0.250 Tl
0.500 0.500 0.500 Hg
```

Summary:
VASP energy: -2.184 eV/atom
ΔH_f (0 K): 0.00 eV per atom
Symmetry: F-43m